The following is a GGA-PBE calculation of a relaxed structure of TbMgTa, from OQMD.

Calculated values
crystal system = cubic
size of the total moment = 0.0 μB per formula unit
total DFT energy (no corrections) = -4.95 eV per atom
density = 7.81 g/cm³

Geometry as CIF:
```
data_TbMgTa
_cell_length_a 6.766
_cell_length_b 6.766
_cell_length_c 6.766
_cell_angle_alpha 90.00
_cell_angle_beta 90.00
_cell_angle_gamma 90.00
_space_group_name_H-M_alt 'F -4 3 m'
_space_group_IT_number 216
_space_group_name_Hall 'F -4 2 3'
loop_
_atom_site_label
_atom_site_fract_x
_atom_site_fract_y
_atom_site_fract_z
Tb1 0.000 0.000 0.000
Mg1 0.250 0.250 0.750
Ta1 0.000 0.000 0.500
```



The following is a GGA-PBE calculation of a relaxed structure of MgZrTaTc, from OQMD.

Calculated values
crystal system = cubic
size of the total moment = 0.0 μB per formula unit
E above lowest polymorph = 97 meV/atom
total DFT energy (no corrections) = -7.97 eV per atom
density = 9.10 g/cm³

Geometry as CIF:
```
data_MgZrTaTc
_cell_length_a 6.603
_cell_length_b 6.603
_cell_length_c 6.603
_cell_angle_alpha 90.00
_cell_angle_beta 90.00
_cell_angle_gamma 90.00
_space_group_name_H-M_alt 'F -4 3 m'
_space_group_IT_number 216
_space_group_name_Hall 'F -4 2 3'
loop_
_atom_site_label
_atom_site_fract_x
_atom_site_fract_y
_atom_site_fract_z
Mg1 0.000 0.000 0.000
Zr1 0.250 0.250 0.750
Ta1 0.000 0.000 0.500
Tc1 0.250 0.250 0.250
```



The following is a GGA-PBE calculation of a relaxed structure of MgZrTaTc, from OQMD.

Calculated values
crystal system = cubic
size of the total moment = 0.0 μB per formula unit
E above lowest polymorph = 0 meV/atom
total DFT energy (no corrections) = -8.07 eV per atom
density = 9.04 g/cm³

Geometry as CIF:
```
data_MgZrTaTc
_cell_length_a 6.619
_cell_length_b 6.619
_cell_length_c 6.619
_cell_angle_alpha 90.00
_cell_angle_beta 90.00
_cell_angle_gamma 90.00
_space_group_name_H-M_alt 'F -4 3 m'
_space_group_IT_number 216
_space_group_name_Hall 'F -4 2 3'
loop_
_atom_site_label
_atom_site_fract_x
_atom_site_fract_y
_atom_site_fract_z
Mg1 0.000 0.000 0.000
Zr1 0.250 0.250 0.750
Ta1 0.250 0.250 0.250
Tc1 0.000 0.000 0.500
```



The following is a GGA-PBE calculation of a relaxed structure of MgTaTe, from OQMD.

Calculated values
crystal system = cubic
size of the total moment = 0.7 μB per formula unit
E above lowest polymorph = 0 meV/atom
total DFT energy (no corrections) = -4.85 eV per atom
density = 7.81 g/cm³

Geometry as CIF:
```
data_MgTaTe
_cell_length_a 6.566
_cell_length_b 6.566
_cell_length_c 6.566
_cell_angle_alpha 90.00
_cell_angle_beta 90.00
_cell_angle_gamma 90.00
_space_group_name_H-M_alt 'F -4 3 m'
_space_group_IT_number 216
_space_group_name_Hall 'F -4 2 3'
loop_
_atom_site_label
_atom_site_fract_x
_atom_site_fract_y
_atom_site_fract_z
Mg1 0.000 0.000 0.000
Ta1 0.000 0.000 0.500
Te1 0.250 0.250 0.250
```



The following is a GGA-PBE calculation of a relaxed structure of ThMgTa, from OQMD.

Calculated values
crystal system = cubic
size of the total moment = 0.0 μB per formula unit
total DFT energy (no corrections) = -5.92 eV per atom
density = 9.14 g/cm³

Geometry as CIF:
```
data_ThMgTa
_cell_length_a 6.824
_cell_length_b 6.824
_cell_length_c 6.824
_cell_angle_alpha 90.00
_cell_angle_beta 90.00
_cell_angle_gamma 90.00
_space_group_name_H-M_alt 'F -4 3 m'
_space_group_IT_number 216
_space_group_name_Hall 'F -4 2 3'
loop_
_atom_site_label
_atom_site_fract_x
_atom_site_fract_y
_atom_site_fract_z
Th1 0.000 0.000 0.000
Mg1 0.250 0.250 0.750
Ta1 0.000 0.000 0.500
```



The following is a GGA-PBE calculation of a relaxed structure of Mg2TaTl, from OQMD.

Calculated values
crystal system = cubic
size of the total moment = 1.9 μB per formula unit
total DFT energy (no corrections) = -3.76 eV per atom
density = 8.63 g/cm³

Geometry as CIF:
```
data_Mg2TaTl
_cell_length_a 6.939
_cell_length_b 6.939
_cell_length_c 6.939
_cell_angle_alpha 90.00
_cell_angle_beta 90.00
_cell_angle_gamma 90.00
_space_group_name_H-M_alt 'F -4 3 m'
_space_group_IT_number 216
_space_group_name_Hall 'F -4 2 3'
loop_
_atom_site_label
_atom_site_fract_x
_atom_site_fract_y
_atom_site_fract_z
Mg1 0.000 0.000 0.000
Mg2 0.250 0.250 0.250
Ta1 0.250 0.250 0.750
Tl1 0.000 0.000 0.500
```